Computed, not measured: CdReNi2 after structural relaxation at the PBE level of DFT.

Values from the calculation:
The calculated formation energy is 55.0 kJ/mol of atoms. The calculation puts the total DFT energy (no corrections) at -5.66 eV/atom. Its space-group type is Pmmm (47). Its total magnetic moment is 0.00 μB per formula unit.

Geometry as POSCAR:
```
CdReNi2
1.0
-1.294 -2.180 1.085
4.181 -2.049 0.870
0.110 1.912 3.973
Cd Ni Re
1 2 1
direct
0.000 0.500 0.500
0.000 0.000 0.000
0.500 0.500 0.000
0.500 0.000 0.500
```



Computed, not measured: PmBi2As after structural relaxation at the PBE level of DFT.

Values from the calculation:
The calculated formation energy is -42.0 kJ/mol of atoms. The calculation puts the total DFT energy (no corrections) at -4.73 eV/atom. Its space-group type is P4/mmm (123). Its total magnetic moment is 0.00 μB per formula unit.

Geometry as POSCAR:
```
PmBi2As
1.0
5.478 0.000 0.000
0.000 4.534 0.000
0.000 0.000 4.534
As Bi Pm
1 2 1
direct
0.500 0.500 0.500
0.000 0.000 0.500
0.000 0.500 0.000
0.500 0.000 0.000
```



Computed, not measured: ZrBeSn3 after structural relaxation at the PBE level of DFT.

Values from the calculation:
The calculated formation energy is 83.7 kJ/mol of atoms. The value obtained for the distance to the lowest polymorph of the same formula is 0.395 eV per atom. The calculation puts the total DFT energy (no corrections) at -3.99 eV/atom. Its space-group type is Pm-3m (221). Its total magnetic moment is 0.00 μB per formula unit.

Geometry as POSCAR:
```
ZrBeSn3
1.0
5.562 0.000 0.000
0.000 5.562 0.000
0.000 0.000 5.562
Be Sn Zr
1 3 1
direct
0.500 0.500 0.500
0.000 0.500 0.000
0.000 0.000 0.500
0.500 0.000 0.000
0.000 0.000 0.000
```



Computed, not measured: GaFe3 after structural relaxation at the PBE level of DFT.

Values from the calculation:
The calculated formation energy is -9.1 kJ/mol of atoms. The calculation puts the total DFT energy (no corrections) at -7.20 eV/atom. Its space-group type is Immm (71). Its total magnetic moment is 6.98 μB per formula unit.

Geometry as POSCAR:
```
GaFe3
1.0
-2.380 -1.545 1.164
0.768 -3.064 -2.496
3.187 0.686 3.385
Fe Ga
3 1
direct
0.243 0.660 0.486
0.500 0.417 0.000
0.757 0.174 0.514
0.000 0.917 0.000
```



Computed, not measured: CeNpTcRu after structural relaxation at the PBE level of DFT.

Values from the calculation:
The calculated formation energy is 0.4 kJ/mol of atoms. The calculation puts the total DFT energy (no corrections) at -9.62 eV/atom. Its space-group type is F-43m (216). Its total magnetic moment is 2.97 μB per formula unit.

Geometry as POSCAR:
```
CeNpTcRu
1.0
-1.974 2.855 3.335
-4.645 -0.505 1.158
-1.228 -1.803 4.291
Np Ru Tc Ce
1 1 1 1
direct
0.500 0.500 0.500
0.750 0.750 0.750
0.250 0.250 0.250
0.000 0.000 0.000
```



Computed, not measured: TaAuS2 after structural relaxation at the PBE level of DFT.

Values from the calculation:
The calculation puts the total DFT energy (no corrections) at -6.51 eV/atom. Its space-group type is R-3m (166). Its total magnetic moment is 0.00 μB per formula unit. The value obtained for the formation energy from raw total energies is -0.67 eV/atom.

Geometry as POSCAR:
```
TaAuS2
1.0
2.839 2.013 7.375
1.459 -0.943 7.968
4.533 -0.765 6.736
S Au Ta
2 1 1
direct
0.900 0.900 0.900
0.100 0.100 0.100
0.000 0.000 0.000
0.500 0.500 0.500
```



Computed, not measured: Eu2ErIn after structural relaxation at the PBE level of DFT.

Values from the calculation:
The calculated formation energy is -11.4 kJ/mol of atoms. The value obtained for the distance to the lowest polymorph of the same formula is 0.072 eV per atom. The calculation puts the total DFT energy (no corrections) at -7.08 eV/atom. Its space-group type is P4/mmm (123). Its total magnetic moment is 14.41 μB per formula unit.

Geometry as POSCAR:
```
Eu2ErIn
1.0
-1.465 -1.691 3.488
1.256 -3.735 -1.283
6.702 1.102 3.350
Eu In Er
2 1 1
direct
0.000 0.000 0.766
0.000 0.000 0.234
0.500 0.500 0.000
0.500 0.500 0.500
```



Computed, not measured: K2OsSe after structural relaxation at the PBE level of DFT.

Values from the calculation:
The calculation puts the total DFT energy (no corrections) at -3.99 eV/atom. Its space-group type is Imm2 (44). Its total magnetic moment is 0.00 μB per formula unit. The value obtained for the formation energy from raw total energies is 0.23 eV/atom.

Geometry as POSCAR:
```
K2OsSe
1.0
-4.640 4.060 1.007
-4.307 1.492 4.272
1.104 4.487 3.416
K Os Se
2 1 1
direct
0.035 0.035 0.966
0.225 0.225 0.275
0.419 0.419 0.581
0.821 0.821 0.679
```



Computed, not measured: PaCoIrRh after structural relaxation at the PBE level of DFT.

Values from the calculation:
The calculated formation energy is -65.9 kJ/mol of atoms. The calculation puts the total DFT energy (no corrections) at -8.89 eV/atom. Its space-group type is Pmmm (47). Its total magnetic moment is 0.92 μB per formula unit.

Geometry as POSCAR:
```
PaCoIrRh
1.0
-3.196 1.631 1.749
-1.296 -3.639 1.025
2.032 0.254 3.475
Pa Co Ir Rh
1 1 1 1
direct
0.000 0.500 0.500
0.500 0.500 0.000
0.000 0.000 0.000
0.500 0.000 0.500
```



Computed, not measured: ScIn2Mo after structural relaxation at the PBE level of DFT.

Values from the calculation:
The calculated formation energy is 8.7 kJ/mol of atoms. The value obtained for the distance to the lowest polymorph of the same formula is 0.147 eV per atom. The calculation puts the total DFT energy (no corrections) at -5.57 eV/atom. Its space-group type is Fm-3m (225). Its total magnetic moment is 1.16 μB per formula unit.

Geometry as POSCAR:
```
ScIn2Mo
1.0
0.000 3.418 3.418
3.418 0.000 3.418
3.418 3.418 0.000
Sc Mo In
1 1 2
direct
0.000 0.000 0.000
0.500 0.500 0.500
0.250 0.250 0.250
0.750 0.750 0.750
```



Computed, not measured: Ac2PmSmBi4 after structural relaxation at the PBE level of DFT.

Values from the calculation:
The calculated formation energy is -92.3 kJ/mol of atoms. The calculation puts the total DFT energy (no corrections) at -5.11 eV/atom. Its space-group type is P2/m (10). Its total magnetic moment is 0.00 μB per formula unit.

Geometry as POSCAR:
```
Ac2PmSmBi4
1.0
4.727 0.000 0.000
0.000 8.185 -0.164
0.000 2.878 7.659
Ac Pm Sm Bi
2 1 1 4
direct
0.000 0.000 0.000
0.500 0.000 0.500
0.500 0.500 0.000
0.000 0.500 0.500
0.000 0.733 0.755
0.000 0.267 0.245
0.500 0.733 0.256
0.500 0.267 0.744
```



Computed, not measured: TcIrW2 after structural relaxation at the PBE level of DFT.

Values from the calculation:
The calculated formation energy is 10.0 kJ/mol of atoms. The value obtained for the distance to the lowest polymorph of the same formula is 0.174 eV per atom. The calculation puts the total DFT energy (no corrections) at -11.18 eV/atom. Its space-group type is R-3m (166). Its total magnetic moment is 0.00 μB per formula unit.

Geometry as POSCAR:
```
TcIrW2
1.0
9.232 -0.011 -0.006
8.811 2.755 -0.006
8.811 1.340 2.407
Ir Tc W
1 1 2
direct
0.250 0.250 0.250
0.750 0.750 0.750
0.000 0.000 0.000
0.500 0.500 0.500
```



Calculated volume values, unit Å³/cell, following the record order: 57.60, 112.62, 172.11, 48.90, 78.86, 75.49, 130.07, 123.05, 64.34, 79.87, 298.57, 61.63.